1.
VASP calculation (PBE-GGA) on a relaxed structure of Ho2TlIr.

Calculated values
crystal system: tetragonal
ΔE_f: -624 meV per atom
energy relative to the lowest polymorph listed for this composition: 0 kJ/mol of formula units

Lattice parameters (Å, degrees): 3.512 3.512 7.631 90.00 90.00 90.00
Element x y z (fractional)
1 Tl 0.500 0.500 0.500
2 Ir 0.500 0.500 0.000
3 Ho 0.000 0.000 0.787
4 Ho 0.000 0.000 0.213

2.
VASP calculation (PBE-GGA) on a relaxed structure of Ho5TlIr4.

Calculated values
crystal system: tetragonal
ΔE_f: -747 meV per atom

Lattice parameters (Å, degrees): 3.476 3.476 17.647 90.00 90.00 90.00
Element x y z (fractional)
1 Ho 0.500 0.500 0.875
2 Ho 0.500 0.500 0.312
3 Ir 0.000 0.000 0.786
4 Ir 0.000 0.000 0.594
5 Ir 0.000 0.000 0.406
6 Tl 0.000 0.000 0.000
7 Ir 0.000 0.000 0.214
8 Ho 0.500 0.500 0.500
9 Ho 0.500 0.500 0.688
10 Ho 0.500 0.500 0.125

3.
VASP calculation (PBE-GGA) on a relaxed structure of Ho5Tl2Ir.

Calculated values
crystal system: orthorhombic
ΔE_f: -102 meV per atom
energy relative to the lowest polymorph listed for this composition: 289 kJ/mol of formula units

Lattice parameters (Å, degrees): 5.451 8.674 12.408 90.00 90.00 108.31
Element x y z (fractional)
1 Ho 0.925 0.849 0.603
2 Ir 0.193 0.387 0.250
3 Ho 0.293 0.585 0.750
4 Ho 0.075 0.151 0.397
5 Ho 0.703 0.406 0.927
6 Tl 0.116 0.231 0.631
7 Ho 0.703 0.406 0.573
8 Tl 0.884 0.769 0.369
9 Ho 0.925 0.849 0.897
10 Ho 0.707 0.415 0.250
11 Ir 0.807 0.613 0.750
12 Tl 0.116 0.231 0.869
13 Ho 0.297 0.594 0.073
14 Ho 0.075 0.151 0.103
15 Ho 0.297 0.594 0.427
16 Tl 0.884 0.769 0.131

4.
VASP calculation (PBE-GGA) on a relaxed structure of Ho5TlIr2.

Calculated values
crystal system: tetragonal
ΔE_f: -666 meV per atom

Lattice parameters (Å, degrees): 7.766 7.766 8.705 116.49 116.49 90.00
Element x y z (fractional)
1 Ho 0.527 0.709 0.736
2 Ho 0.027 0.527 0.736
3 Ho 0.209 0.027 0.736
4 Ir 0.860 0.640 0.000
5 Ho 0.291 0.791 0.264
6 Tl 0.250 0.250 0.500
7 Ir 0.640 0.140 0.000
8 Ho 0.000 0.000 0.000
9 Ho 0.973 0.473 0.264
10 Tl 0.750 0.750 0.500
11 Ir 0.140 0.360 0.000
12 Ho 0.500 0.500 0.000
13 Ho 0.709 0.209 0.736
14 Ir 0.360 0.860 0.000
15 Ho 0.473 0.291 0.264
16 Ho 0.791 0.973 0.264

5.
VASP calculation (PBE-GGA) on a relaxed structure of Ho5Tl2Ir.

Calculated values
crystal system: orthorhombic
ΔE_f: -476 meV per atom
energy relative to the lowest polymorph listed for this composition: 0 kJ/mol of formula units

Lattice parameters (Å, degrees): 4.729 7.385 12.341 90.00 90.00 90.00
Element x y z (fractional)
1 Ho 0.500 0.679 0.423
2 Ho 0.500 0.321 0.577
3 Tl 0.500 0.582 0.166
4 Ho 0.000 0.864 0.207
5 Ir 0.000 0.500 0.500
6 Tl 0.500 0.918 0.666
7 Ho 0.500 0.179 0.077
8 Ho 0.000 0.636 0.707
9 Ho 0.000 0.364 0.293
10 Ho 0.000 0.500 0.000
11 Ho 0.500 0.821 0.923
12 Ho 0.000 0.000 0.500
13 Ir 0.000 0.000 0.000
14 Tl 0.500 0.082 0.334
15 Ho 0.000 0.136 0.793
16 Tl 0.500 0.418 0.834

6.
VASP calculation (PBE-GGA) on a relaxed structure of Ho6Tl5Ir.

Calculated values
crystal system: orthorhombic
ΔE_f: -412 meV per atom

Lattice parameters (Å, degrees): 5.268 7.562 9.074 114.63 106.88 89.99
Element x y z (fractional)
1 Tl 0.663 0.663 0.327
2 Tl 0.000 0.500 0.000
3 Ir 0.000 0.000 0.000
4 Ho 0.848 0.077 0.696
5 Ho 0.848 0.620 0.696
6 Tl 0.685 0.185 0.369
7 Tl 0.337 0.337 0.673
8 Tl 0.315 0.815 0.631
9 Ho 0.500 0.221 0.000
10 Ho 0.500 0.779 0.000
11 Ho 0.152 0.923 0.304
12 Ho 0.152 0.380 0.304

| no. | E (eV per cell) |
| --- | --- |
| 1 | -22.9 |
| 2 | -68.2 |
| 3 | -74.6 |
| 4 | -96.6 |
| 5 | -80.6 |
| 6 | -53.1 |